# 1
VASP calculation (GGA-PBE) on an optimized crystal structure of AcInGa.

E: -3.8349 eV/atom
Energy above the lowest structure with this stoichiometry: 0.000 eV per atom
Formation energy: -0.544 eV/atom
Volume: 87 Å³/f.u.

Cell and atoms, written as CIF:
```
data_AcInGa
_symmetry_space_group_name_H-M 'C 1 2/m 1'
_symmetry_Int_Tables_number 12
_cell_length_a 16.923
_cell_length_b 4.878
_cell_length_c 4.352
_cell_angle_alpha 90.00
_cell_angle_beta 104.89
_cell_angle_gamma 90.00
loop_
_symmetry_equiv_pos_as_xyz
'x,y,z'
'-x,-y,-z'
'-x,y,-z'
'x,-y,z'
'x+1/2,y+1/2,z'
'-x+1/2,-y+1/2,-z'
'-x+1/2,y+1/2,-z'
'x+1/2,-y+1/2,z'
loop_
_atom_site_label
_atom_site_type_symbol
_atom_site_fract_x
_atom_site_fract_y
_atom_site_fract_z
Ac1 Ac 0.111 0.000 0.361
In1 In 0.205 0.500 0.956
Ga1 Ga 0.039 0.500 0.789
```

***

# 2
VASP calculation (GGA-PBE) on an optimized crystal structure of Ac2InGa3Ir4.

E: -6.1838 eV/atom
Formation energy: -0.636 eV/atom
Volume: 208 Å³/f.u.

Cell and atoms, written as CIF:
```
data_Ac2InGa3Ir4
_symmetry_space_group_name_H-M 'P -4 m 2'
_symmetry_Int_Tables_number 115
_cell_length_a 4.404
_cell_length_b 4.404
_cell_length_c 10.715
_cell_angle_alpha 90.00
_cell_angle_beta 90.00
_cell_angle_gamma 90.00
loop_
_symmetry_equiv_pos_as_xyz
'x,y,z'
'y,-x,-z'
'-x,-y,z'
'-y,x,-z'
'-x,y,z'
'-y,-x,-z'
'x,-y,z'
'y,x,-z'
loop_
_atom_site_label
_atom_site_type_symbol
_atom_site_fract_x
_atom_site_fract_y
_atom_site_fract_z
Ac1 Ac 0.000 0.500 0.235
In1 In 0.000 0.000 0.500
Ga1 Ga 0.000 0.500 0.883
Ga2 Ga 0.500 0.500 0.500
Ir1 Ir 0.000 0.000 0.000
Ir2 Ir 0.000 0.500 0.644
Ir3 Ir 0.500 0.500 0.000
```

***

# 3
VASP calculation (GGA-PBE) on an optimized crystal structure of AcLa2In2Ga2.

E: -4.0243 eV/atom
Formation energy: -0.382 eV/atom
Volume: 201 Å³/f.u.

Cell and atoms, written as CIF:
```
data_AcLa2In2Ga2
_symmetry_space_group_name_H-M 'R -3 m'
_symmetry_Int_Tables_number 166
_symmetry_space_group_name_Hall '-R 3 2"'
_cell_length_a 4.7363
_cell_length_b 4.7363
_cell_length_c 31.0580
_cell_angle_alpha 90.00
_cell_angle_beta 90.00
_cell_angle_gamma 120.00
loop_
_atom_site_label
_atom_site_type_symbol
_atom_site_fract_x
_atom_site_fract_y
_atom_site_fract_z
Ac1 Ac 0.0000 0.0000 0.0000
La1 La 0.0000 0.0000 0.1354
In1 In 0.0000 0.0000 0.2636
Ga1 Ga 0.0000 0.0000 0.4174
```

***

# 4
VASP calculation (GGA-PBE) on an optimized crystal structure of AcLaInGa.

E: -4.1519 eV/atom
Formation energy: -0.452 eV/atom
Volume: 124 Å³/f.u.

Cell and atoms, written as CIF:
```
data_AcLaInGa
_symmetry_space_group_name_H-M 'F -4 3 m'
_symmetry_Int_Tables_number 216
_symmetry_space_group_name_Hall 'F -4 2 3'
_cell_length_a 7.912
_cell_length_b 7.912
_cell_length_c 7.912
_cell_angle_alpha 90.00
_cell_angle_beta 90.00
_cell_angle_gamma 90.00
loop_
_atom_site_label
_atom_site_type_symbol
_atom_site_fract_x
_atom_site_fract_y
_atom_site_fract_z
Ac1 Ac 0.000 0.000 0.000
La1 La 0.000 0.000 0.500
In1 In 0.250 0.250 0.250
Ga1 Ga 0.250 0.250 0.750
```

***

# 5
VASP calculation (GGA-PBE) on an optimized crystal structure of LiAc2In3Ga4.

E: -3.4352 eV/atom
Formation energy: -0.390 eV/atom
Volume: 248 Å³/f.u.

Cell and atoms, written as CIF:
```
data_LiAc2In3Ga4
_symmetry_space_group_name_H-M 'P -4 m 2'
_symmetry_Int_Tables_number 115
_cell_length_a 4.677
_cell_length_b 4.677
_cell_length_c 11.337
_cell_angle_alpha 90.00
_cell_angle_beta 90.00
_cell_angle_gamma 90.00
loop_
_symmetry_equiv_pos_as_xyz
'x,y,z'
'y,-x,-z'
'-x,-y,z'
'-y,x,-z'
'-x,y,z'
'-y,-x,-z'
'x,-y,z'
'y,x,-z'
loop_
_atom_site_label
_atom_site_type_symbol
_atom_site_fract_x
_atom_site_fract_y
_atom_site_fract_z
Li1 Li 0.000 0.000 0.000
Ac1 Ac 0.000 0.500 0.748
In1 In 0.000 0.500 0.368
In2 In 0.500 0.500 0.000
Ga1 Ga 0.000 0.000 0.500
Ga2 Ga 0.000 0.500 0.131
Ga3 Ga 0.500 0.500 0.500
```

***

# 6
VASP calculation (GGA-PBE) on an optimized crystal structure of Li4Ac2In3Ga.

E: -3.0059 eV/atom
Formation energy: -0.294 eV/atom
Volume: 247 Å³/f.u.

Cell and atoms, written as CIF:
```
data_Li4Ac2In3Ga
_symmetry_space_group_name_H-M 'P -4 m 2'
_symmetry_Int_Tables_number 115
_cell_length_a 4.875
_cell_length_b 4.875
_cell_length_c 10.377
_cell_angle_alpha 90.00
_cell_angle_beta 90.00
_cell_angle_gamma 90.00
loop_
_symmetry_equiv_pos_as_xyz
'x,y,z'
'y,-x,-z'
'-x,-y,z'
'-y,x,-z'
'-x,y,z'
'-y,-x,-z'
'x,-y,z'
'y,x,-z'
loop_
_atom_site_label
_atom_site_type_symbol
_atom_site_fract_x
_atom_site_fract_y
_atom_site_fract_z
Li1 Li 0.000 0.000 0.000
Li2 Li 0.000 0.500 0.377
Li3 Li 0.500 0.500 0.000
Ac1 Ac 0.000 0.500 0.743
In1 In 0.000 0.000 0.500
In2 In 0.000 0.500 0.119
Ga1 Ga 0.500 0.500 0.500
```

***

# 7
VASP calculation (GGA-PBE) on an optimized crystal structure of Li3Ac2In4Ga.

E: -3.1759 eV/atom
Formation energy: -0.382 eV/atom
Volume: 251 Å³/f.u.

Cell and atoms, written as CIF:
```
data_Li3Ac2In4Ga
_symmetry_space_group_name_H-M 'P -4 m 2'
_symmetry_Int_Tables_number 115
_cell_length_a 4.725
_cell_length_b 4.725
_cell_length_c 11.244
_cell_angle_alpha 90.00
_cell_angle_beta 90.00
_cell_angle_gamma 90.00
loop_
_symmetry_equiv_pos_as_xyz
'x,y,z'
'y,-x,-z'
'-x,-y,z'
'-y,x,-z'
'-x,y,z'
'-y,-x,-z'
'x,-y,z'
'y,x,-z'
loop_
_atom_site_label
_atom_site_type_symbol
_atom_site_fract_x
_atom_site_fract_y
_atom_site_fract_z
Li1 Li 0.000 0.000 0.000
Li2 Li 0.000 0.500 0.629
Ac1 Ac 0.000 0.500 0.244
In1 In 0.000 0.000 0.500
In2 In 0.000 0.500 0.867
In3 In 0.500 0.500 0.500
Ga1 Ga 0.500 0.500 0.000
```

***

# 8
VASP calculation (GGA-PBE) on an optimized crystal structure of LiAc2InGa6.

E: -3.4331 eV/atom
Formation energy: -0.330 eV/atom
Volume: 230 Å³/f.u.

Cell and atoms, written as CIF:
```
data_LiAc2InGa6
_symmetry_space_group_name_H-M 'R -3 m'
_symmetry_Int_Tables_number 166
_symmetry_space_group_name_Hall '-R 3 2"'
_cell_length_a 6.6289
_cell_length_b 6.6289
_cell_length_c 36.3412
_cell_angle_alpha 90.00
_cell_angle_beta 90.00
_cell_angle_gamma 120.00
loop_
_atom_site_label
_atom_site_type_symbol
_atom_site_fract_x
_atom_site_fract_y
_atom_site_fract_z
Li1 Li 0.0000 0.0000 0.0000
Li2 Li 0.0000 0.0000 0.5000
Ac1 Ac 0.0000 0.0000 0.1059
Ac2 Ac 0.0000 0.0000 0.2770
In1 In 0.0000 0.0000 0.4249
Ga1 Ga 0.0538 0.5269 0.3074
Ga2 Ga 0.0681 0.5341 0.8588
```